1:
Here is Sc2Zn2Hg after structural relaxation from Alexandria. Energies are from PBEsol.

Cell: 7.003 7.003 3.745 Å, 90.00 90.00 90.00°
Space group P4/mbm (No. 127)
One atom of each set of equivalent atoms:
Sc (0.169, 0.331, 0.000) x4
Zn (0.126, 0.626, 0.500) x4
Hg (0.000, 0.000, 0.500) x2

Results
* crystal system: tetragonal
* D(E_F): 6.840 states/eV per cell

=====

2:
Here is Sc2Zn2Hg after structural relaxation from Alexandria. Energies are from PBEsol.

Cell: 3.442 3.442 16.848 Å, 90.00 90.00 90.00°
Space group I4/mmm (No. 139)
One atom of each set of equivalent atoms:
Sc (0.000, 0.000, 0.105) x4
Zn (0.000, 0.500, 0.250) x4
Hg (0.000, 0.000, 0.500) x2

Results
* crystal system: tetragonal
* D(E_F): 10.932 states/eV per cell

=====

Q: Which of them is the most stable? A: 1.

=====

1:
Here is HgSe2 after structural relaxation from Alexandria. Energies are from PBEsol.

Cell: 3.9875 3.9875 4.8430 Å, 90.00 90.00 120.00°
Space group P-3m1 (No. 164)
One atom of each set of equivalent atoms:
Hg (0.0000, 0.0000, 0.0000) x1
Se (0.3333, 0.6667, 0.3175) x2

Results
* crystal system: trigonal
* D(E_F): 1.760 states/eV per cell

=====

2:
Here is HgSe2 after structural relaxation from Alexandria. Energies are from PBEsol.

Cell: 3.571 3.571 14.490 Å, 90.00 90.00 90.00°
Space group I4/mmm (No. 139)
One atom of each set of equivalent atoms:
Hg (0.000, 0.000, 0.000) x2
Se (0.000, 0.000, 0.227) x4

Results
* crystal system: tetragonal
* D(E_F): 2.310 states/eV per cell

=====

Q: Which of them is the most stable? A: 1.